First-principles (SCAN) data for Ta2IrOs at its PBEsol-relaxed geometry, as listed in the Alexandria database.

total magnetization: 0.0 Bohr magnetons per cell
energy of formation from the pure elements: -0.505 eV/atom
uncorrected energy: -278.17 eV per cell

a b c (Å): 2.9303 2.9303 7.3393
angles (deg): 90.00 90.00 90.00
Space group P4/mmm (No. 123)
Unique sites:
Ta1 0.0000 0.0000 0.2432 [2 per cell]
Ir1 0.5000 0.5000 0.5000 [1 per cell]
Os1 0.5000 0.5000 0.0000 [1 per cell]